Record 1
Ba2DySe3 PBE optimized geometry; calculated total energy = -5.059 eV per atom; theoretical density = 5.92 g/cm³; crystal system = trigonal; total moment = 0.01 μB/cell
1.0
4.409 0.000 0.000
-2.204 3.818 0.000
0.000 0.000 11.227
Ba Dy Se
2 1 3
direct
0.333 0.667 0.178 Ba
0.667 0.333 0.822 Ba
0.000 0.000 0.500 Dy
0.000 0.000 0.000 Se
0.333 0.667 0.635 Se
0.667 0.333 0.365 Se

***

Record 2
BaDyZnSe3 PBE optimized geometry; calculated total energy = -4.475 eV per atom; theoretical density = 6.04 g/cm³; crystal system = orthorhombic; total moment = 0.04 μB/cell
1.0
2.204 -7.002 0.000
2.204 7.002 0.000
0.000 0.000 10.726
Ba Dy Zn Se
2 2 2 6
direct
0.248 0.752 0.750 Ba
0.752 0.248 0.250 Ba
0.000 0.000 0.000 Dy
0.000 0.000 0.500 Dy
0.481 0.519 0.250 Zn
0.519 0.481 0.750 Zn
0.072 0.928 0.250 Se
0.368 0.632 0.065 Se
0.368 0.632 0.435 Se
0.632 0.368 0.565 Se
0.632 0.368 0.935 Se
0.928 0.072 0.750 Se

***

Record 3
BaDySi PBE optimized geometry; calculated total energy = -4.105 eV per atom; theoretical density = 5.35 g/cm³; crystal system = cubic; total moment = 0.42 μB/cell
1.0
0.000 3.705 3.705
3.705 0.000 3.705
3.705 3.705 0.000
Ba Dy Si
1 1 1
direct
0.000 0.000 0.000 Ba
0.500 0.500 0.500 Dy
0.250 0.250 0.250 Si

***

Record 4
BaDySi PBE optimized geometry; calculated total energy = -3.291 eV per atom; theoretical density = 5.44 g/cm³; crystal system = cubic; total moment = 0.00 μB/cell
1.0
0.000 3.686 3.686
3.686 0.000 3.686
3.686 3.686 0.000
Ba Dy Si
1 1 1
direct
0.000 0.000 0.000 Ba
0.750 0.750 0.750 Dy
0.250 0.250 0.250 Si

***

Record 5
BaDySn PBE optimized geometry; calculated total energy = -3.149 eV per atom; theoretical density = 5.85 g/cm³; crystal system = cubic; total moment = 0.00 μB/cell
1.0
0.000 3.903 3.903
3.903 0.000 3.903
3.903 3.903 0.000
Ba Dy Sn
1 1 1
direct
0.000 0.000 0.000 Ba
0.750 0.750 0.750 Dy
0.250 0.250 0.250 Sn

***

Record 6
BaDySn2 PBE optimized geometry; calculated total energy = -3.548 eV per atom; theoretical density = 6.05 g/cm³; crystal system = orthorhombic; total moment = 0.02 μB/cell
1.0
3.496 0.000 0.000
0.000 3.289 6.416
0.000 -3.289 6.416
Ba Dy Sn
1 1 2
direct
0.000 0.000 0.000 Ba
0.000 0.282 0.282 Dy
0.000 0.513 0.513 Sn
0.000 0.735 0.735 Sn

***

Record 7
BaSrDy PBE optimized geometry; calculated total energy = -1.905 eV per atom; theoretical density = 4.01 g/cm³; crystal system = cubic; total moment = 0.70 μB/cell
1.0
0.000 4.313 4.313
4.313 0.000 4.313
4.313 4.313 0.000
Ba Sr Dy
1 1 1
direct
0.000 0.000 0.000 Ba
0.250 0.250 0.250 Sr
0.750 0.750 0.750 Dy

***

Record 8
BaTbDy PBE optimized geometry; calculated total energy = -2.893 eV per atom; theoretical density = 5.55 g/cm³; crystal system = cubic; total moment = 0.03 μB/cell
1.0
0.000 4.095 4.095
4.095 0.000 4.095
4.095 4.095 0.000
Ba Tb Dy
1 1 1
direct
0.000 0.000 0.000 Ba
0.500 0.500 0.500 Tb
0.250 0.250 0.250 Dy

***

Record 9
BaDyTc PBE optimized geometry; calculated total energy = -4.404 eV per atom; theoretical density = 7.41 g/cm³; crystal system = cubic; total moment = 0.45 μB/cell
1.0
0.000 3.546 3.546
3.546 0.000 3.546
3.546 3.546 0.000
Ba Dy Tc
1 1 1
direct
0.000 0.000 0.000 Ba
0.250 0.250 0.250 Dy
0.500 0.500 0.500 Tc

***

Record 10
BaDyTc PBE optimized geometry; calculated total energy = -4.088 eV per atom; theoretical density = 7.71 g/cm³; crystal system = cubic; total moment = 1.00 μB/cell
1.0
0.000 3.499 3.499
3.499 0.000 3.499
3.499 3.499 0.000
Ba Dy Tc
1 1 1
direct
0.000 0.000 0.000 Ba
0.750 0.750 0.750 Dy
0.250 0.250 0.250 Tc

***

Record 11
BaDyTlTe3 PBE optimized geometry; calculated total energy = -4.097 eV per atom; theoretical density = 6.87 g/cm³; crystal system = orthorhombic; total moment = 0.00 μB/cell
1.0
2.319 -7.713 0.000
2.319 7.713 0.000
0.000 0.000 11.984
Ba Dy Tl Te
2 2 2 6
direct
0.239 0.761 0.750 Ba
0.761 0.239 0.250 Ba
0.000 0.000 0.000 Dy
0.000 0.000 0.500 Dy
0.464 0.536 0.250 Tl
0.536 0.464 0.750 Tl
0.094 0.906 0.250 Te
0.358 0.642 0.023 Te
0.358 0.642 0.477 Te
0.642 0.358 0.523 Te
0.642 0.358 0.977 Te
0.906 0.094 0.750 Te

***

Record 12
BaDyTh PBE optimized geometry; calculated total energy = -3.677 eV per atom; theoretical density = 6.66 g/cm³; crystal system = cubic; total moment = 0.00 μB/cell
1.0
0.000 4.047 4.047
4.047 0.000 4.047
4.047 4.047 0.000
Ba Dy Th
1 1 1
direct
0.000 0.000 0.000 Ba
0.250 0.250 0.250 Dy
0.500 0.500 0.500 Th

***

Record 13
BaDyTl PBE optimized geometry; calculated total energy = -2.908 eV per atom; theoretical density = 6.84 g/cm³; crystal system = cubic; total moment = 0.02 μB/cell
1.0
0.000 3.940 3.940
3.940 0.000 3.940
3.940 3.940 0.000
Ba Dy Tl
1 1 1
direct
0.000 0.000 0.000 Ba
0.500 0.500 0.500 Dy
0.250 0.250 0.250 Tl

***

Record 14
BaDyTl PBE optimized geometry; calculated total energy = -2.455 eV per atom; theoretical density = 7.16 g/cm³; crystal system = cubic; total moment = 0.00 μB/cell
1.0
0.000 3.881 3.881
3.881 0.000 3.881
3.881 3.881 0.000
Ba Dy Tl
1 1 1
direct
0.000 0.000 0.000 Ba
0.750 0.750 0.750 Dy
0.250 0.250 0.250 Tl

***

Record 15
Ba4DyTl2 PBE optimized geometry; calculated total energy = -2.501 eV per atom; theoretical density = 6.15 g/cm³; crystal system = tetragonal; total moment = 0.00 μB/cell
1.0
5.768 0.000 0.000
0.000 5.768 0.000
0.000 0.000 9.095
Ba Dy Tl
4 1 2
direct
0.000 0.500 0.227 Ba
0.000 0.500 0.773 Ba
0.500 0.000 0.227 Ba
0.500 0.000 0.773 Ba
0.000 0.000 0.500 Dy
0.000 0.000 0.000 Tl
0.500 0.500 0.500 Tl

***

Record 16
BaDyU PBE optimized geometry; calculated total energy = -4.414 eV per atom; theoretical density = 6.97 g/cm³; crystal system = cubic; total moment = 5.42 μB/cell
1.0
0.000 4.002 4.002
4.002 0.000 4.002
4.002 4.002 0.000
Ba Dy U
1 1 1
direct
0.000 0.000 0.000 Ba
0.500 0.500 0.500 Dy
0.250 0.250 0.250 U

***

Record 17
BaDyW PBE optimized geometry; calculated total energy = -4.493 eV per atom; theoretical density = 8.43 g/cm³; crystal system = cubic; total moment = 2.93 μB/cell
1.0
0.000 3.625 3.625
3.625 0.000 3.625
3.625 3.625 0.000
Ba Dy W
1 1 1
direct
0.000 0.000 0.000 Ba
0.750 0.750 0.750 Dy
0.250 0.250 0.250 W

***

Record 18
Ba2Er PBE optimized geometry; calculated total energy = -2.563 eV per atom; theoretical density = 5.02 g/cm³; crystal system = tetragonal; total moment = 0.01 μB/cell
1.0
-2.188 2.188 7.626
2.188 -2.188 7.626
2.188 2.188 -7.626
Ba Er
2 1
direct
0.150 0.150 0.000 Ba
0.850 0.850 0.000 Ba
0.500 0.500 0.000 Er

***

Record 19
Ba2Er PBE optimized geometry; calculated total energy = -1.279 eV per atom; theoretical density = 1.48 g/cm³; crystal system = cubic; total moment = 10.00 μB/cell
1.0
0.000 7.919 7.919
7.919 0.000 7.919
7.919 7.919 0.000
Ba Er
4 2
direct
0.000 0.000 0.000 Ba
0.000 0.000 0.500 Ba
0.000 0.500 0.000 Ba
0.500 0.000 0.000 Ba
0.125 0.125 0.125 Er
0.875 0.875 0.875 Er

***

Record 20
Ba2Er PBE optimized geometry; calculated total energy = -2.240 eV per atom; theoretical density = 5.11 g/cm³; crystal system = cubic; total moment = 0.01 μB/cell
1.0
0.000 5.235 5.235
5.235 0.000 5.235
5.235 5.235 0.000
Ba Er
4 2
direct
0.000 0.000 0.000 Ba
0.000 0.000 0.500 Ba
0.000 0.500 0.000 Ba
0.500 0.000 0.000 Ba
0.375 0.375 0.375 Er
0.625 0.625 0.625 Er

***

Record 21
BaEr PBE optimized geometry; calculated total energy = -2.906 eV per atom; theoretical density = 6.21 g/cm³; crystal system = hexagonal; total moment = 0.42 μB/cell
1.0
3.824 0.000 0.000
-1.912 3.312 0.000
0.000 0.000 6.426
Ba Er
1 1
direct
0.000 0.000 0.000 Ba
0.667 0.333 0.500 Er

***

Record 22
BaEr PBE optimized geometry; calculated total energy = -2.398 eV per atom; theoretical density = 5.61 g/cm³; crystal system = cubic; total moment = 0.01 μB/cell
1.0
0.000 3.560 3.560
3.560 0.000 3.560
3.560 3.560 0.000
Ba Er
1 1
direct
0.000 0.000 0.000 Ba
0.500 0.500 0.500 Er

***

Record 23
BaEr PBE optimized geometry; calculated total energy = -1.633 eV per atom; theoretical density = 4.25 g/cm³; crystal system = cubic; total moment = 0.01 μB/cell
1.0
0.000 3.903 3.903
3.903 0.000 3.903
3.903 3.903 0.000
Ba Er
1 1
direct
0.000 0.000 0.000 Ba
0.750 0.750 0.750 Er

***

Record 24
Ba2ErO3F PBE optimized geometry; calculated total energy = -6.784 eV per atom; theoretical density = 6.74 g/cm³; crystal system = tetragonal; total moment = 0.01 μB/cell
1.0
4.270 0.000 0.000
0.000 4.270 0.000
0.000 0.000 13.750
Ba Er O F
4 2 6 2
direct
0.250 0.250 0.102 Ba
0.250 0.250 0.382 Ba
0.750 0.750 0.618 Ba
0.750 0.750 0.898 Ba
0.250 0.250 0.762 Er
0.750 0.750 0.238 Er
0.250 0.250 0.918 O
0.250 0.750 0.264 O
0.250 0.750 0.736 O
0.750 0.250 0.264 O
0.750 0.250 0.736 O
0.750 0.750 0.082 O
0.250 0.250 0.575 F
0.750 0.750 0.425 F

***

Record 25
Ba6Er2Ga4O15 PBE optimized geometry; calculated total energy = -6.582 eV per atom; theoretical density = 6.40 g/cm³; crystal system = monoclinic; total moment = 0.00 μB/cell
1.0
7.937 0.000 0.000
0.000 5.957 0.000
-0.442 0.000 18.413
Ba Er Ga O
12 4 8 30
direct
0.000 0.173 0.250 Ba
0.000 0.827 0.750 Ba
0.001 0.255 0.578 Ba
0.001 0.745 0.078 Ba
0.475 0.251 0.910 Ba
0.475 0.749 0.410 Ba
0.500 0.218 0.250 Ba
0.500 0.782 0.750 Ba
0.525 0.251 0.590 Ba
0.525 0.749 0.090 Ba
0.999 0.255 0.922 Ba
0.999 0.745 0.422 Ba
0.253 0.248 0.090 Er
0.253 0.752 0.590 Er
0.747 0.248 0.410 Er
0.747 0.752 0.910 Er
0.255 0.246 0.441 Ga
0.255 0.754 0.941 Ga
0.268 0.273 0.734 Ga
0.268 0.727 0.234 Ga
0.732 0.273 0.766 Ga
0.732 0.727 0.266 Ga
0.745 0.246 0.059 Ga
0.745 0.754 0.559 Ga
0.031 0.257 0.410 O
0.031 0.743 0.910 O
0.190 0.161 0.818 O
0.190 0.839 0.318 O
0.221 0.457 0.190 O
0.221 0.543 0.690 O
0.252 0.048 0.663 O
0.252 0.952 0.163 O
0.267 0.014 0.998 O
0.267 0.986 0.498 O
0.268 0.486 0.508 O
0.268 0.514 0.008 O
0.455 0.267 0.391 O
0.455 0.733 0.891 O
0.500 0.306 0.750 O
0.500 0.694 0.250 O
0.545 0.267 0.109 O
0.545 0.733 0.609 O
0.732 0.486 0.992 O
0.732 0.514 0.492 O
0.733 0.014 0.502 O
0.733 0.986 0.002 O
0.748 0.048 0.837 O
0.748 0.952 0.337 O
0.779 0.457 0.310 O
0.779 0.543 0.810 O
0.810 0.161 0.682 O
0.810 0.839 0.182 O
0.969 0.257 0.090 O
0.969 0.743 0.590 O

***

Record 26
BaErGaS3 PBE optimized geometry; calculated total energy = -5.113 eV per atom; theoretical density = 4.85 g/cm³; crystal system = orthorhombic; total moment = 0.01 μB/cell
1.0
2.003 -7.179 0.000
2.003 7.179 0.000
0.000 0.000 11.213
Ba Er Ga S
2 2 2 6
direct
0.193 0.807 0.750 Ba
0.807 0.193 0.250 Ba
0.500 0.500 0.000 Er
0.500 0.500 0.500 Er
0.112 0.888 0.250 Ga
0.888 0.112 0.750 Ga
0.126 0.874 0.006 S
0.126 0.874 0.494 S
0.495 0.505 0.250 S
0.505 0.495 0.750 S
0.874 0.126 0.506 S
0.874 0.126 0.994 S